1.
First-principles (PBE) data for a geometry-optimized BaIrCl structure, as listed in Alexandria via LeMat-Bulk.

Offset from the most stable computed form, meV per atom: 1388
DOS(E_F), states/eV per atom: 0.609
Space-group type: F-43m (216)
Energy, Ry/atom: -0.29461

a b c (Å): 4.8981 4.8981 4.8981
angles (deg): 60.00 60.00 60.00
Last column: nearest neighbours and their distance in Å.
Fractional positions:
Ba: 0.0000 0.0000 0.0000  4 Ir 3.00
Ir: 0.2500 0.2500 0.2500  4 Ba 3.00, 4 Cl 3.00
Cl: 0.5000 0.5000 0.5000  4 Ir 3.00

2.
First-principles (PBE) data for a geometry-optimized SmMgZr structure, as listed in Alexandria via LeMat-Bulk.

Offset from the most stable computed form, meV per atom: 68
DFT formation energy, eV/f.u.: 0.32
DOS(E_F), states/eV per atom: 1.197
Space-group type: P3m1 (156)
Energy, Ry/atom: -0.35636

a b c (Å): 3.3351 3.3351 8.2974
angles (deg): 90.00 90.00 120.00
Last column: nearest neighbours and their distance in Å.
Fractional positions:
Sm: 0.0000 0.0000 0.0000  3 Zr 3.30, 6 Sm 3.34, 3 Mg 3.56
Mg: 0.6667 0.3333 0.3615  3 Zr 3.25, 6 Mg 3.34, 3 Sm 3.56
Zr: 0.3333 0.6667 0.6771  3 Mg 3.25, 3 Sm 3.30, 6 Zr 3.34

3.
First-principles (PBE) data for a geometry-optimized LaTiVAs2 structure, as listed in Alexandria via LeMat-Bulk.

DFT formation energy, eV/f.u.: 6.55
DOS(E_F), states/eV per atom: 1.436
Space-group type: P4/mmm (123)
Energy, Ry/atom: -0.36296

a b c (Å): 5.5370 5.5370 5.1546
angles (deg): 90.00 90.00 90.00
Last column: nearest neighbours and their distance in Å.
Fractional positions:
La: 0.0000 0.0000 0.0000  2 V 2.58, 4 As 2.77
Ti: 0.5000 0.5000 0.5000  8 As 3.78, 4 V 3.92
V: 0.0000 0.0000 0.5000  2 La 2.58
As: 0.0000 0.5000 0.0000  2 La 2.77
As: 0.5000 0.0000 0.0000  2 La 2.77

4.
First-principles (PBE) data for a geometry-optimized MnCuTcAu2 structure, as listed in Alexandria via LeMat-Bulk.

DFT formation energy, eV/f.u.: 5.70
DOS(E_F), states/eV per atom: 0.888
Space-group type: P4/mmm (123)
Energy, Ry/atom: -0.35992

a b c (Å): 4.8335 4.8335 4.2518
angles (deg): 90.00 90.00 90.00
Last column: nearest neighbours and their distance in Å.
Fractional positions:
Mn: 0.0000 0.0000 0.0000  2 Tc 2.13
Cu: 0.5000 0.5000 0.5000  8 Au 3.22, 4 Tc 3.42
Tc: 0.0000 0.0000 0.5000  2 Mn 2.13
Au: 0.0000 0.5000 0.0000  2 Mn 2.42
Au: 0.5000 0.0000 0.0000  2 Mn 2.42